# HgTe2S6, relaxed, DFT PBE
data_HgTe2S6
_cell_length_a 5.290
_cell_length_b 6.687
_cell_length_c 7.319
_cell_angle_alpha 92.38
_cell_angle_beta 98.97
_cell_angle_gamma 93.12
_symmetry_space_group_name_H-M 'P 1'
_symmetry_Int_Tables_number 1
_symmetry_space_group_name_Hall 'P 1'
loop_
_atom_site_label
_atom_site_fract_x
_atom_site_fract_y
_atom_site_fract_z
_atom_site_occupancy
Hg1 0.000 0.000 0.000 1
Te1 0.146 0.703 0.672 1
Te2 0.854 0.297 0.328 1
S1 0.131 0.434 0.934 1
S2 0.308 0.973 0.458 1
S3 0.471 0.481 0.355 1
S4 0.529 0.519 0.645 1
S5 0.692 0.027 0.542 1
S6 0.869 0.566 0.066 1
# Formation energy from raw total energies: 169 meV per atom
# Total magnetization: 0.0 μB/f.u.
# DOS(E_F): 3.4 states/eV/f.u.
# SG: P-1